Entry 1:
ZnSiTc: optimized geometry, GGA-PBE.

Structure (POSCAR):
```
ZnSiTc
1.0
3.1361 0.0000 0.0000
0.0000 3.1361 0.0000
0.0000 0.0000 8.5046
Zn Si Tc
2 2 2
direct
0.0000 0.0000 0.0000 Zn
0.5000 0.5000 0.5000 Zn
0.0000 0.0000 0.6782 Si
0.5000 0.5000 0.1782 Si
0.0000 0.0000 0.3176 Tc
0.5000 0.5000 0.8176 Tc
```

DOS(E_F) = 0.943 states/eV per atom
formation energy (no corrections) = -0.118 eV/atom
SG = I4mm
E = -5.806 eV per atom
magnetization = 0.58 μB per formula unit



Entry 2:
Tl2Cu2PbCl7: optimized geometry, GGA-PBE.

Structure (POSCAR):
```
Tl2Cu2PbCl7
1.0
3.4647 -3.4649 0.0000
3.4647 3.4649 0.0000
-3.4510 0.0000 12.5789
Tl Cu Pb Cl
2 2 1 7
direct
0.1818 0.1818 0.3648 Tl
0.8182 0.8182 0.6352 Tl
0.4031 0.4031 0.8071 Cu
0.5969 0.5969 0.1929 Cu
0.0000 0.0000 0.0000 Pb
0.0853 0.5850 0.1710 Cl
0.3096 0.3096 0.6162 Cl
0.4150 0.9147 0.8290 Cl
0.5000 0.5000 0.0000 Cl
0.5850 0.0853 0.1710 Cl
0.6904 0.6904 0.3838 Cl
0.9147 0.4150 0.8290 Cl
```

DOS(E_F) = 0.434 states/eV per atom
formation energy (no corrections) = -0.780 eV/atom
SG = C2/m
E = -3.243 eV per atom
magnetization = 0.00 μB per formula unit



Entry 3:
MgZr3S6: optimized geometry, GGA-PBE.

Structure (POSCAR):
```
MgZr3S6
1.0
5.0595 -6.2707 0.0000
5.0595 6.2707 0.0000
0.0000 0.0000 6.3322
Mg Zr S
2 6 12
direct
0.2063 0.7937 0.5000 Mg
0.7937 0.2063 0.0000 Mg
0.0766 0.2696 0.5179 Zr
0.2696 0.0766 0.0179 Zr
0.4061 0.5939 0.1214 Zr
0.5939 0.4061 0.6214 Zr
0.7304 0.9234 0.5179 Zr
0.9234 0.7304 0.0179 Zr
0.0318 0.9682 0.3243 S
0.1013 0.5445 0.2797 S
0.2289 0.7711 0.8732 S
0.2980 0.3734 0.8224 S
0.3734 0.2980 0.3224 S
0.4555 0.8987 0.2797 S
0.5445 0.1013 0.7797 S
0.6266 0.7020 0.8224 S
0.7020 0.6266 0.3224 S
0.7711 0.2289 0.3732 S
0.8987 0.4555 0.7797 S
0.9682 0.0318 0.8243 S
```

DOS(E_F) = 0.450 states/eV per atom
formation energy (no corrections) = -1.422 eV/atom
SG = Cmc2_1
E = -6.622 eV per atom
magnetization = 0.00 μB per formula unit



Entry 4:
SrH2Au: optimized geometry, GGA-PBE.

Structure (POSCAR):
```
SrH2Au
1.0
4.4378 0.0000 0.0000
-2.2189 3.8432 0.0000
0.0000 0.0000 12.6760
Sr H Au
3 6 3
direct
0.0000 0.0000 0.0000 Sr
0.3333 0.6667 0.6667 Sr
0.6667 0.3333 0.3333 Sr
0.0000 0.0000 0.3681 H
0.0000 0.0000 0.6319 H
0.3333 0.6667 0.0348 H
0.3333 0.6667 0.2985 H
0.6667 0.3333 0.7015 H
0.6667 0.3333 0.9652 H
0.0000 0.0000 0.5000 Au
0.3333 0.6667 0.1667 Au
0.6667 0.3333 0.8333 Au
```

DOS(E_F) = 0.338 states/eV per atom
SG = R-3m
E = -3.337 eV per atom
magnetization = 0.00 μB per formula unit